1.
A relaxed structure of CePr3O7. Source: Alexandria via LeMat-Bulk, functional PBE.

Cell: 6.9128 6.9128 7.9884 Å, 90.00 90.00 110.70°
With the nearest neighbours (Å) after each atom.
Fractional positions:
Ce1 0.0000 0.0000 0.0000  6 O 2.23-2.27
Ce2 0.0000 0.0000 0.5000  6 O 2.23-2.27
Pr1 0.0044 0.4666 0.2500  7 O 2.37-2.56
Pr2 0.4666 0.0044 0.7500  7 O 2.37-2.56
Pr3 0.5000 0.5000 0.0000  8 O 2.49-2.63
Pr4 0.5000 0.5000 0.5000  8 O 2.49-2.63
Pr5 0.5334 0.9956 0.2500  7 O 2.37-2.56
Pr6 0.9956 0.5334 0.7500  7 O 2.37-2.56
O1 0.0951 0.9049 0.7500  2 Ce 2.27, 2 Pr 2.41
O2 0.0955 0.3419 0.5310  1 Ce 2.23, 1 Pr 2.44
O3 0.0955 0.3419 0.9690  1 Ce 2.23, 1 Pr 2.44
O4 0.3419 0.0955 0.0310  1 Ce 2.23, 1 Pr 2.44
O5 0.3419 0.0955 0.4690  1 Ce 2.23, 1 Pr 2.44
O6 0.3692 0.6308 0.2500  4 Pr 2.37-2.49
O7 0.3691 0.6309 0.7500  4 Pr 2.43-2.49
O8 0.6309 0.3691 0.2500  4 Pr 2.43-2.49
O9 0.6308 0.3692 0.7500  4 Pr 2.37-2.49
O10 0.6581 0.9045 0.5310  1 Ce 2.23, 1 Pr 2.44
O11 0.6581 0.9045 0.9690  1 Ce 2.23, 1 Pr 2.44
O12 0.9045 0.6581 0.0310  1 Ce 2.23, 1 Pr 2.44
O13 0.9045 0.6581 0.4690  1 Ce 2.23, 1 Pr 2.44
O14 0.9049 0.0951 0.2500  2 Ce 2.27, 2 Pr 2.41

Results
ρ: 6.28 g cm⁻³
formation energy without anion corrections: -3.151 eV/atom
final energy: -8.149 eV/atom

2.
A relaxed structure of CePrO2. Source: Alexandria via LeMat-Bulk, functional PBE.

Cell: 5.0494 5.0494 10.0544 Å, 90.00 90.00 90.00°
With the nearest neighbours (Å) after each atom.
Fractional positions:
Ce1 0.0000 0.2500 0.3750  6 O 2.47-2.53
Ce2 0.0000 0.7500 0.6250  6 O 2.47-2.53
Ce3 0.5000 0.2500 0.1250  6 O 2.47-2.53
Ce4 0.5000 0.7500 0.8750  6 O 2.47-2.53
Pr1 0.0000 0.2500 0.8750  6 O 2.53-2.55
Pr2 0.0000 0.7500 0.1250  6 O 2.53-2.55
Pr3 0.5000 0.2500 0.6250  6 O 2.53-2.55
Pr4 0.5000 0.7500 0.3750  6 O 2.53-2.55
O1 0.0000 0.2500 0.1288  3 Ce 2.47-2.53, 3 Pr 2.53-2.55
O2 0.0000 0.2500 0.6212  3 Ce 2.47-2.53, 3 Pr 2.53-2.55
O3 0.0000 0.7500 0.3788  3 Ce 2.47-2.53, 3 Pr 2.53-2.55
O4 0.0000 0.7500 0.8712  3 Ce 2.47-2.53, 3 Pr 2.53-2.55
O5 0.5000 0.2500 0.3712  3 Ce 2.47-2.53, 3 Pr 2.53-2.55
O6 0.5000 0.2500 0.8788  3 Ce 2.47-2.53, 3 Pr 2.53-2.55
O7 0.5000 0.7500 0.1212  3 Ce 2.47-2.53, 3 Pr 2.53-2.55
O8 0.5000 0.7500 0.6288  3 Ce 2.47-2.53, 3 Pr 2.53-2.55

Results
ρ: 8.11 g cm⁻³
formation energy without anion corrections: -2.782 eV/atom
polymorph energy (0 for the lowest one): 0 meV/atom
final energy: -7.939 eV/atom

3.
A relaxed structure of CePrO2. Source: Alexandria via LeMat-Bulk, functional PBE.

Cell: 3.5689 3.5689 17.5003 Å, 90.00 90.00 120.00°
With the nearest neighbours (Å) after each atom.
Fractional positions:
Ce1 0.0000 0.0000 0.0000  6 O 2.48
Ce2 0.3333 0.6667 0.6667  6 O 2.48
Ce3 0.6667 0.3333 0.3333  6 O 2.48
Pr1 0.0000 0.0000 0.5000  6 O 2.57
Pr2 0.3333 0.6667 0.1667  6 O 2.57
Pr3 0.6667 0.3333 0.8333  6 O 2.57
O1 0.0000 0.0000 0.2544  3 Ce 2.48, 3 Pr 2.57
O2 0.0000 0.0000 0.7456  3 Ce 2.48, 3 Pr 2.57
O3 0.3333 0.6667 0.4123  3 Ce 2.48, 3 Pr 2.57
O4 0.3333 0.6667 0.9210  3 Ce 2.48, 3 Pr 2.57
O5 0.6667 0.3333 0.0790  3 Ce 2.48, 3 Pr 2.57
O6 0.6667 0.3333 0.5877  3 Ce 2.48, 3 Pr 2.57

Results
ρ: 8.08 g cm⁻³
formation energy without anion corrections: -2.782 eV/atom
polymorph energy (0 for the lowest one): 0 meV/atom
final energy: -7.939 eV/atom

4.
A relaxed structure of CePr3O. Source: Alexandria via LeMat-Bulk, functional PBE.

Cell: 5.1255 5.1255 5.1255 Å, 90.00 90.00 90.00°
With the nearest neighbours (Å) after each atom.
Fractional positions:
Ce1 0.0000 0.0000 0.0000  12 Pr 3.62
Pr1 0.0000 0.5000 0.5000  2 O 2.56
Pr2 0.5000 0.0000 0.5000  2 O 2.56
Pr3 0.5000 0.5000 0.0000  2 O 2.56
O1 0.5000 0.5000 0.5000  6 Pr 2.56

Results
ρ: 7.14 g cm⁻³
formation energy without anion corrections: -0.992 eV/atom
final energy: -6.039 eV/atom

5.
A relaxed structure of CePr3O6. Source: Alexandria via LeMat-Bulk, functional PBE.

Cell: 7.1014 7.1014 7.1014 Å, 91.57 91.57 91.57°
With the nearest neighbours (Å) after each atom.
Fractional positions:
Ce1 0.0000 0.0000 0.0000  6 O 2.34
Ce2 0.5000 0.5000 0.5000  6 O 2.39
Pr1 0.0533 0.5612 0.7514  6 O 2.36-2.51
Pr2 0.2486 0.9467 0.4388  6 O 2.36-2.51
Pr3 0.4388 0.2486 0.9467  6 O 2.36-2.51
Pr4 0.5612 0.7514 0.0533  6 O 2.36-2.51
Pr5 0.7514 0.0533 0.5612  6 O 2.36-2.51
Pr6 0.9467 0.4388 0.2486  6 O 2.36-2.51
O1 0.0295 0.8996 0.6853  1 Ce 2.34, 3 Pr 2.40-2.47
O2 0.1004 0.3147 0.9705  1 Ce 2.34, 3 Pr 2.40-2.47
O3 0.1856 0.5972 0.4344  3 Pr 2.36-2.51, 1 Ce 2.39
O4 0.3147 0.9705 0.1004  1 Ce 2.34, 3 Pr 2.40-2.47
O5 0.4028 0.5656 0.8144  3 Pr 2.36-2.51, 1 Ce 2.39
O6 0.4344 0.1856 0.5972  3 Pr 2.36-2.51, 1 Ce 2.39
O7 0.5656 0.8144 0.4028  3 Pr 2.36-2.51, 1 Ce 2.39
O8 0.5972 0.4344 0.1856  3 Pr 2.36-2.51, 1 Ce 2.39
O9 0.6853 0.0295 0.8996  1 Ce 2.34, 3 Pr 2.40-2.47
O10 0.8144 0.4028 0.5656  3 Pr 2.36-2.51, 1 Ce 2.39
O11 0.8996 0.6853 0.0295  1 Ce 2.34, 3 Pr 2.40-2.47
O12 0.9705 0.1004 0.3147  1 Ce 2.34, 3 Pr 2.40-2.47

Results
ρ: 6.12 g cm⁻³
formation energy without anion corrections: -3.302 eV/atom
final energy: -8.304 eV/atom

6.
A relaxed structure of Rb2CePrO4. Source: Alexandria via LeMat-Bulk, functional PBE.

Cell: 6.3873 3.6896 6.9414 Å, 90.00 107.92 90.00°
With the nearest neighbours (Å) after each atom.
Fractional positions:
Rb1 0.0000 0.0000 0.0000  6 O 2.99
Rb2 0.5000 0.5000 0.0000  6 O 3.01-3.02
Ce1 0.0000 0.5000 0.5000  6 O 2.41-2.42
Pr1 0.5000 0.0000 0.5000  6 O 2.45-2.46
O1 0.2220 0.0000 0.6792  2 Ce 2.42, 1 Pr 2.46
O2 0.2684 0.5000 0.3201  1 Ce 2.41, 2 Pr 2.45
O3 0.7316 0.5000 0.6799  1 Ce 2.41, 2 Pr 2.45
O4 0.7780 0.0000 0.3208  2 Ce 2.42, 1 Pr 2.46

Results
ρ: 5.50 g cm⁻³
formation energy without anion corrections: -2.532 eV/atom
final energy: -6.592 eV/atom

7.
A relaxed structure of CePrS2O. Source: Alexandria via LeMat-Bulk, functional PBE.

Cell: 4.0249 4.0249 14.0684 Å, 90.00 90.00 90.00°
With the nearest neighbours (Å) after each atom.
Fractional positions:
Ce1 0.2500 0.2500 0.1188  5 S 2.58-2.87
Ce2 0.7500 0.7500 0.8812  5 S 2.58-2.87
Pr1 0.2500 0.2500 0.5874  4 O 2.36
Pr2 0.7500 0.7500 0.4126  4 O 2.36
S1 0.2500 0.2500 0.3024  1 Ce 2.58
S2 0.2500 0.2500 0.9072  5 Ce 2.87-2.98
S3 0.7500 0.7500 0.0928  5 Ce 2.87-2.98
S4 0.7500 0.7500 0.6976  1 Ce 2.58
O1 0.2500 0.7500 0.5000  4 Pr 2.36
O2 0.7500 0.2500 0.5000  4 Pr 2.36

Results
ρ: 5.26 g cm⁻³
formation energy without anion corrections: -2.446 eV/atom
final energy: -7.232 eV/atom

8.
A relaxed structure of Ce4Pr2Sb3O2. Source: Alexandria via LeMat-Bulk, functional PBE.

Cell: 13.5327 13.5327 13.5327 Å, 159.92 159.92 28.54°
With the nearest neighbours (Å) after each atom.
Fractional positions:
Ce1 0.0838 0.5838 0.5000  2 O 2.39
Ce2 0.4162 0.9162 0.5000  2 O 2.39
Ce3 0.5838 0.0838 0.5000  2 O 2.39
Ce4 0.9162 0.4162 0.5000  2 O 2.39
Pr1 0.1984 0.1984 0.0000  1 O 2.61
Pr2 0.8016 0.8016 0.0000  1 O 2.61
Sb1 0.3238 0.3238 0.0000  5 Pr 3.29-3.39, 4 Ce 3.38
Sb2 0.5000 0.5000 0.0000  8 Ce 3.22
Sb3 0.6762 0.6762 0.0000  5 Pr 3.29-3.39, 4 Ce 3.38
O1 0.0988 0.0988 0.0000  4 Ce 2.39, 1 Pr 2.61
O2 0.9012 0.9012 0.0000  4 Ce 2.39, 1 Pr 2.61

Results
ρ: 7.05 g cm⁻³
formation energy without anion corrections: -1.616 eV/atom
final energy: -6.668 eV/atom

9.
A relaxed structure of CePrSbO2. Source: Alexandria via LeMat-Bulk, functional PBE.

Cell: 4.0111 4.0111 13.1560 Å, 90.00 90.00 90.00°
With the nearest neighbours (Å) after each atom.
Fractional positions:
Ce1 0.0000 0.0000 0.0000  4 O 2.30
Ce2 0.5000 0.5000 0.5000  4 O 2.30
Pr1 0.0000 0.0000 0.6848  4 O 2.39
Pr2 0.5000 0.5000 0.1848  4 O 2.39
Sb1 0.0000 0.0000 0.3435  4 Ce 3.50, 4 Pr 3.52, 4 O 3.76
Sb2 0.5000 0.5000 0.8435  4 Ce 3.50, 4 Pr 3.52, 4 O 3.76
O1 0.0000 0.5000 0.0857  2 Ce 2.30, 2 Pr 2.39
O2 0.0000 0.5000 0.5857  2 Ce 2.30, 2 Pr 2.39
O3 0.5000 0.0000 0.0857  2 Ce 2.30, 2 Pr 2.39
O4 0.5000 0.0000 0.5857  2 Ce 2.30, 2 Pr 2.39

Results
ρ: 6.82 g cm⁻³
formation energy without anion corrections: -2.633 eV/atom
final energy: -7.583 eV/atom

10.
A relaxed structure of CePr2Sb2O2. Source: Alexandria via LeMat-Bulk, functional PBE.

Cell: 4.4661 4.4661 16.9190 Å, 90.00 90.00 90.00°
With the nearest neighbours (Å) after each atom.
Fractional positions:
Ce1 0.0000 0.0000 0.0000  4 O 2.23
Ce2 0.5000 0.5000 0.5000  4 O 2.23
Pr1 0.0000 0.0000 0.3759  4 O 3.07, 5 Sb 3.23-3.32
Pr2 0.0000 0.0000 0.6241  4 O 3.07, 5 Sb 3.23-3.32
Pr3 0.5000 0.5000 0.1241  4 O 3.07, 5 Sb 3.23-3.32
Pr4 0.5000 0.5000 0.8759  4 O 3.07, 5 Sb 3.23-3.32
Sb1 0.0000 0.0000 0.1847  1 Ce 3.13, 5 Pr 3.23-3.32
Sb2 0.0000 0.0000 0.8153  1 Ce 3.13, 5 Pr 3.23-3.32
Sb3 0.5000 0.5000 0.3153  1 Ce 3.13, 5 Pr 3.23-3.32
Sb4 0.5000 0.5000 0.6847  1 Ce 3.13, 5 Pr 3.23-3.32
O1 0.0000 0.5000 0.0000  2 Ce 2.23
O2 0.0000 0.5000 0.5000  2 Ce 2.23
O3 0.5000 0.0000 0.0000  2 Ce 2.23
O4 0.5000 0.0000 0.5000  2 Ce 2.23

Results
ρ: 6.86 g cm⁻³
formation energy without anion corrections: -1.912 eV/atom
final energy: -6.720 eV/atom

11.
A relaxed structure of CePrSeO2. Source: Alexandria via LeMat-Bulk, functional PBE.

Cell: 3.9737 3.9737 12.6077 Å, 90.00 90.00 90.00°
With the nearest neighbours (Å) after each atom.
Fractional positions:
Ce1 0.0000 0.0000 0.0000  4 O 2.32
Ce2 0.5000 0.5000 0.5000  4 O 2.32
Pr1 0.0000 0.0000 0.3034  4 O 2.37
Pr2 0.5000 0.5000 0.8034  4 O 2.37
Se1 0.0000 0.0000 0.6554  4 Pr 3.37, 4 Ce 3.43, 8 O 3.73
Se2 0.5000 0.5000 0.1554  4 Pr 3.37, 4 Ce 3.43, 8 O 3.73
O1 0.0000 0.5000 0.4055  2 Ce 2.32, 2 Pr 2.37
O2 0.0000 0.5000 0.9055  2 Ce 2.32, 2 Pr 2.37
O3 0.5000 0.0000 0.4055  2 Ce 2.32, 2 Pr 2.37
O4 0.5000 0.0000 0.9055  2 Ce 2.32, 2 Pr 2.37

Results
ρ: 6.54 g cm⁻³
formation energy without anion corrections: -2.929 eV/atom
final energy: -7.751 eV/atom

12.
A relaxed structure of Ce2PrSeO4. Source: Alexandria via LeMat-Bulk, functional PBE.

Cell: 3.9601 3.9601 9.0608 Å, 90.00 90.00 90.00°
With the nearest neighbours (Å) after each atom.
Fractional positions:
Ce1 0.0000 0.0000 0.2158  4 O 2.26
Ce2 0.0000 0.0000 0.7842  4 O 2.26
Pr1 0.5000 0.5000 0.5000  8 O 2.48
Se1 0.5000 0.5000 0.0000  8 Ce 3.42, 8 O 3.63
O1 0.0000 0.5000 0.3354  2 Ce 2.26, 2 Pr 2.48
O2 0.0000 0.5000 0.6646  2 Ce 2.26, 2 Pr 2.48
O3 0.5000 0.0000 0.3354  2 Ce 2.26, 2 Pr 2.48
O4 0.5000 0.0000 0.6646  2 Ce 2.26, 2 Pr 2.48

Results
ρ: 6.59 g cm⁻³
formation energy without anion corrections: -3.149 eV/atom
final energy: -8.144 eV/atom